Entry 1:
Mn2AlB after structural relaxation, computed with PBE-GGA.

Cell: 2.6394 2.6394 5.8919 Å, 90.00 90.00 90.00°
Space group P4/mmm (No. 123)
Symmetry-distinct sites (fractional):
Mn: 0.0000 0.0000 0.1880 [2 per cell]
Al: 0.5000 0.5000 0.5000 [1 per cell]
B: 0.5000 0.5000 0.0000 [1 per cell]

Properties
* DFT formation energy: -16 kJ/mol of atoms
* energy above the most stable polymorph in this dataset: 0.0 meV/atom
* magnetization: 0.117 μB/atom
* D(E_F): 2.96 states/eV per cell
* calculated density: 6.0 g cm⁻³
* calculated volume: 41 Å³/cell

Entry 2:
CsGaSe2 after structural relaxation, computed with PBE-GGA.

Cell: 10.5319 4.1538 13.9261 Å, 90.00 109.08 90.00°
Space group P2_1/c (No. 14)
Symmetry-distinct sites (fractional):
Cs: 0.1542 0.0000 0.4184 [4 per cell]
Ga: 0.3628 0.0076 0.2272 [4 per cell]
Se: 0.1402 0.0028 0.1309 [4 per cell]
Se: 0.4464 0.5071 0.3426 [4 per cell]

Properties
* magnetization: 0.000 μB/atom
* D(E_F): 0.00 states/eV per cell
* E: -3.569 eV per atom
* calculated density: 4.2 g cm⁻³
* calculated volume: 576 Å³/cell

Entry 3:
LaZn2Tc after structural relaxation, computed with PBE-GGA.

Cell: 4.4381 4.4381 7.8445 Å, 90.00 90.00 90.00°
Space group I-4m2 (No. 119)
Symmetry-distinct sites (fractional):
La: 0.0000 0.0000 0.0000 [2 per cell]
Zn: 0.0000 0.0000 0.5000 [2 per cell]
Zn: 0.0000 0.5000 0.2500 [2 per cell]
Tc: 0.0000 0.5000 0.7500 [2 per cell]

Properties
* DFT formation energy: 25 kJ/mol of atoms
* energy above the most stable polymorph in this dataset: 262.8 meV/atom
* magnetization: 0.000 μB/atom
* D(E_F): 6.50 states/eV per cell
* calculated density: 7.9 g cm⁻³
* calculated volume: 155 Å³/cell

Entry 4:
Dy4YEr after structural relaxation, computed with PBE-GGA.

Cell: 3.5346 6.1383 9.3733 Å, 77.28 79.24 73.38°
Space group P-1 (No. 2)
Symmetry-distinct sites (fractional):
Dy: 0.1666 0.0012 0.1653 [2 per cell]
Dy: 0.1668 0.4982 0.6678 [2 per cell]
Y: 0.5000 0.0000 0.5000 [1 per cell]
Er: 0.5000 0.5000 0.0000 [1 per cell]

Properties
* DFT formation energy: 2 kJ/mol of atoms
* energy above the most stable polymorph in this dataset: 0.0 meV/atom
* magnetization: 0.000 μB/atom
* D(E_F): 8.50 states/eV per cell
* calculated density: 8.0 g cm⁻³
* calculated volume: 188 Å³/cell

Entry 5:
AlCrP2W after structural relaxation, computed with PBE-GGA.

Cell: 4.6270 4.6270 4.8039 Å, 90.00 90.00 90.00°
Space group P4/mmm (No. 123)
Symmetry-distinct sites (fractional):
Al: 0.0000 0.0000 0.0000 [1 per cell]
Cr: 0.5000 0.5000 0.0000 [1 per cell]
P: 0.0000 0.5000 0.5000 [2 per cell]
W: 0.5000 0.5000 0.5000 [1 per cell]

Properties
* DFT formation energy: 100 kJ/mol of atoms
* magnetization: 0.025 μB/atom
* D(E_F): 6.18 states/eV per cell
* calculated density: 5.2 g cm⁻³
* calculated volume: 103 Å³/cell

Entry 6:
SbAuCl2 after structural relaxation, computed with PBE-GGA.

Cell: 3.9727 6.1516 8.7837 Å, 90.00 90.00 90.00°
Space group Cmm2 (No. 35)
Symmetry-distinct sites (fractional):
Sb: 0.0000 0.0000 0.0000 [2 per cell]
Au: 0.0000 0.5000 0.7883 [2 per cell]
Cl: 0.0000 0.0000 0.6098 [2 per cell]
Cl: 0.0000 0.5000 0.2281 [2 per cell]

Properties
* energy above the most stable polymorph in this dataset: 256.0 meV/atom
* magnetization: 0.000 μB/atom
* D(E_F): 4.12 states/eV per cell
* calculated density: 6.0 g cm⁻³
* calculated volume: 215 Å³/cell